Here is BaLiPmCl6 after structural relaxation from Alexandria via LeMat-Bulk. Energies are from GGA-PBE.

Its uncorrected formation energy is -2245 meV per atom. As for the crystal system: trigonal. As for the volume: 31.05 Å³ per atom. The calculation puts the density of states at the Fermi level at 0.000 states/eV/cell.

a b c (Å): 6.9217 6.9217 13.4684
angles (deg): 90.00 90.00 120.00
Last column: nearest neighbours and their distance in Å.
Sites, in units of the cell vectors:
1 Cl 0.6316 0.9894 0.3627  1 Li 2.64, 1 Pm 2.73
2 Cl 0.3579 0.9894 0.1373  1 Li 2.64, 1 Pm 2.73
3 Cl 0.0106 0.6421 0.3627  1 Li 2.64, 1 Pm 2.73
4 Cl 0.6316 0.6421 0.1373  1 Li 2.64, 1 Pm 2.73
5 Cl 0.9894 0.3579 0.6373  1 Li 2.64, 1 Pm 2.73
6 Cl 0.9894 0.6316 0.8627  1 Li 2.64, 1 Pm 2.73
7 Cl 0.0106 0.3684 0.1373  1 Li 2.64, 1 Pm 2.73
8 Cl 0.3579 0.3684 0.3627  1 Li 2.64, 1 Pm 2.73
9 Cl 0.3684 0.0106 0.6373  1 Li 2.64, 1 Pm 2.73
10 Cl 0.6421 0.0106 0.8627  1 Li 2.64, 1 Pm 2.73
11 Cl 0.6421 0.6316 0.6373  1 Li 2.64, 1 Pm 2.73
12 Cl 0.3684 0.3579 0.8627  1 Li 2.64, 1 Pm 2.73
13 Ba 0.0000 0.0000 0.0000  6 Cl 3.12
14 Ba 0.0000 0.0000 0.5000  6 Cl 3.12
15 Li 0.3333 0.6667 0.2500  6 Cl 2.64
16 Li 0.6667 0.3333 0.7500  6 Cl 2.64
17 Pm 0.3333 0.6667 0.7500  6 Cl 2.73
18 Pm 0.6667 0.3333 0.2500  6 Cl 2.73